1.
A plane-wave DFT calculation with PBE was carried out for a relaxed structure of CaMnSCl2.

Summary:
Energy above the lowest structure with this stoichiometry   489 meV per atom
Space-group type   P4/mmm (123)
E_form (uncorrected)   -0.682 eV/atom
Electronic total energy   -4.481 eV/atom

The structure in POSCAR format:
```
CaMnSCl2
1.0
-3.268 -0.167 -3.872
3.006 -3.307 -2.394
-2.688 -4.218 2.451
Ca Mn S Cl
1 1 1 2
Direct
0.000 0.000 0.000
0.500 0.500 0.500
0.000 0.000 0.500
0.000 0.500 0.000
0.500 0.000 0.000
```

---

2.
A plane-wave DFT calculation with PBE was carried out for a relaxed structure of Ac2LaBe2P4.

Summary:
Energy relative to the elements   -0.9749 eV per atom
Space-group type   C2/m (12)
Electronic total energy   -5.668 eV/atom

The structure in POSCAR format:
```
Ac2LaBe2P4
1.0
-2.301 2.539 -1.980
-5.834 -3.756 1.962
2.797 4.153 6.029
Ac La Be P
2 1 2 4
Direct
0.135 0.568 0.270
0.865 0.432 0.730
0.000 0.000 0.000
0.678 0.984 0.355
0.322 0.016 0.645
0.210 0.166 0.420
0.790 0.834 0.580
0.533 0.738 0.066
0.467 0.262 0.934
```

---

3.
A plane-wave DFT calculation with PBE was carried out for a relaxed structure of CdHgMo2.

Summary:
Energy above the lowest structure with this stoichiometry   368 meV per atom
Energy relative to the elements   0.6792 eV per atom
Space-group type   F-43m (216)
Electronic total energy   -5.041 eV/atom

The structure in POSCAR format:
```
CdHgMo2
1.0
4.683 0.000 0.000
2.341 4.055 0.000
2.341 1.352 3.823
Cd Hg Mo
1 1 2
Direct
0.500 0.500 0.500
0.750 0.750 0.750
0.000 0.000 0.000
0.250 0.250 0.250
```

---

4.
A plane-wave DFT calculation with PBE was carried out for a relaxed structure of Pa8CoTc2.

Summary:
Energy relative to the elements   -0.0647 eV per atom
Space-group type   C2/m (12)
Electronic total energy   -9.502 eV/atom

The structure in POSCAR format:
```
Pa8CoTc2
1.0
5.264 0.000 0.000
0.000 5.973 -0.250
-2.632 -2.921 7.879
Pa Co Tc
8 1 2
Direct
0.406 0.526 0.812
0.669 0.025 0.338
0.787 0.671 0.574
0.989 0.225 0.977
0.213 0.329 0.426
0.331 0.975 0.662
0.594 0.474 0.188
0.011 0.775 0.023
0.500 0.000 0.000
0.836 0.262 0.672
0.164 0.738 0.328
```

---

5.
A plane-wave DFT calculation with PBE was carried out for a relaxed structure of Ni2AgSb.

Summary:
Space-group type   F-43m (216)
E_form (uncorrected)   0.199 eV/atom
Electronic total energy   -4.435 eV/atom

The structure in POSCAR format:
```
Ni2AgSb
1.0
4.442 0.000 0.000
2.221 3.847 0.000
2.221 1.282 3.627
Ag Ni Sb
1 2 1
Direct
0.500 0.500 0.500
0.000 0.000 0.000
0.250 0.250 0.250
0.750 0.750 0.750
```

---

6.
A plane-wave DFT calculation with PBE was carried out for a relaxed structure of ZrNb2Sn.

Summary:
Energy relative to the elements   0.4962 eV per atom
Space-group type   I-42d (122)
Electronic total energy   -7.676 eV/atom

The structure in POSCAR format:
```
ZrNb2Sn
1.0
-0.036 -5.231 -5.800
7.389 1.857 -1.721
4.608 -3.709 -1.942
Nb Sn Zr
4 2 2
Direct
0.640 0.125 0.250
0.110 0.625 0.250
0.375 0.360 0.750
0.875 0.890 0.750
0.000 0.000 0.000
0.750 0.250 0.500
0.500 0.500 0.000
0.250 0.750 0.500
```

---

7.
A plane-wave DFT calculation with PBE was carried out for a relaxed structure of NaSr3Sb2O9.

Summary:
Space-group type   P-3m1 (164)
E_form (uncorrected)   -1.994 eV/atom
Electronic total energy   -5.943 eV/atom

The structure in POSCAR format:
```
NaSr3Sb2O9
1.0
5.795 0.000 0.000
-2.898 5.019 0.000
0.000 0.000 7.242
Na Sr Sb O
1 3 2 9
Direct
0.000 0.000 0.500
0.333 0.667 0.643
0.000 0.000 0.000
0.667 0.333 0.357
0.333 0.667 0.165
0.667 0.333 0.835
0.827 0.173 0.685
0.827 0.654 0.685
0.346 0.173 0.685
0.654 0.827 0.315
0.173 0.346 0.315
0.173 0.827 0.315
0.500 0.000 0.000
0.000 0.500 0.000
0.500 0.500 0.000
```

---

8.
A plane-wave DFT calculation with PBE was carried out for a relaxed structure of Pa2CrSi6Os.

Summary:
Space-group type   R-3m (166)
E_form (uncorrected)   -0.311 eV/atom
Electronic total energy   -7.549 eV/atom

The structure in POSCAR format:
```
Pa2CrSi6Os
1.0
-5.627 -1.147 -1.081
-3.667 -1.061 4.424
-5.550 10.635 1.808
Pa Cr Si Os
4 2 12 2
Direct
0.896 0.896 0.313
0.104 0.104 0.687
0.709 0.709 0.874
0.291 0.291 0.126
0.000 0.000 0.000
0.500 0.500 0.500
0.936 0.337 0.391
0.337 0.936 0.391
0.337 0.337 0.391
0.064 0.663 0.609
0.663 0.064 0.609
0.663 0.663 0.609
0.649 0.229 0.894
0.229 0.649 0.894
0.229 0.229 0.894
0.351 0.771 0.106
0.771 0.351 0.106
0.771 0.771 0.106
0.574 0.574 0.277
0.426 0.426 0.723
```

---

9.
A plane-wave DFT calculation with PBE was carried out for a relaxed structure of BaCdSe2O6.

Summary:
Space-group type   R-3 (148)
E_form (uncorrected)   -1.288 eV/atom
Electronic total energy   -5.243 eV/atom

The structure in POSCAR format:
```
BaCdSe2O6
1.0
5.782 0.000 0.000
2.891 5.007 0.000
2.891 1.669 5.988
Ba Cd Se O
1 1 2 6
Direct
0.000 0.000 0.000
0.500 0.500 0.500
0.724 0.724 0.829
0.276 0.276 0.171
0.053 0.498 0.720
0.729 0.053 0.720
0.502 0.271 0.280
0.947 0.502 0.280
0.271 0.947 0.280
0.498 0.729 0.720
```

---

10.
A plane-wave DFT calculation with PBE was carried out for a relaxed structure of PmSm2Sc.

Summary:
Energy above the lowest structure with this stoichiometry   0 meV per atom
Energy relative to the elements   0.0381 eV per atom
Space-group type   P4/mmm (123)
Electronic total energy   -5.092 eV/atom

The structure in POSCAR format:
```
PmSm2Sc
1.0
-3.825 -1.619 2.807
2.774 -3.858 1.553
1.659 2.738 3.840
Sc Sm Pm
1 2 1
Direct
0.500 0.000 0.000
0.000 0.000 0.500
0.000 0.500 0.000
0.500 0.500 0.500
```

---

11.
A plane-wave DFT calculation with PBE was carried out for a relaxed structure of CrTe.

Summary:
Space-group type   P4_2/mnm (136)
E_form (uncorrected)   0.204 eV/atom
Electronic total energy   -6.178 eV/atom

The structure in POSCAR format:
```
CrTe
1.0
6.390 0.000 0.000
0.000 6.390 0.000
0.000 0.000 4.894
Cr Te
4 4
Direct
0.399 0.601 0.000
0.899 0.899 0.500
0.101 0.101 0.500
0.601 0.399 0.000
0.215 0.215 0.000
0.715 0.285 0.500
0.285 0.715 0.500
0.785 0.785 0.000
```

---

12.
A plane-wave DFT calculation with PBE was carried out for a relaxed structure of Tb2SmDyY2.

Summary:
Energy relative to the elements   0.2863 eV per atom
Space-group type   Pnnm (58)
Electronic total energy   -4.965 eV/atom

The structure in POSCAR format:
```
Tb2SmDyY2
1.0
-0.462 -0.194 3.350
0.714 -6.595 -0.283
17.421 1.779 2.507
Tb Sm Dy Y
4 2 2 4
Direct
0.500 0.264 0.321
0.000 0.764 0.179
0.500 0.736 0.679
0.000 0.236 0.821
0.000 0.000 0.000
0.500 0.500 0.500
0.500 0.500 0.000
0.000 0.000 0.500
0.500 0.768 0.349
0.500 0.232 0.651
0.000 0.732 0.849
0.000 0.268 0.151
```

---

13.
A plane-wave DFT calculation with PBE was carried out for a relaxed structure of Fe3HIr.

Summary:
Energy above the lowest structure with this stoichiometry   0 meV per atom
Space-group type   P2_1/m (11)
Electronic total energy   -7.506 eV/atom

The structure in POSCAR format:
```
Fe3HIr
1.0
-1.768 3.697 -1.069
-4.136 -2.037 -0.268
-0.834 1.040 4.977
Fe H Ir
6 2 2
Direct
0.758 0.837 0.500
0.242 0.163 0.500
0.758 0.837 0.000
0.242 0.163 0.000
0.752 0.346 0.250
0.248 0.654 0.750
0.511 0.009 0.250
0.489 0.991 0.750
0.245 0.649 0.250
0.755 0.351 0.750
```

---

14.
A plane-wave DFT calculation with PBE was carried out for a relaxed structure of AgBi2Rh.

Summary:
Energy relative to the elements   0.2231 eV per atom
Space-group type   I-42d (122)
Electronic total energy   -4.268 eV/atom

The structure in POSCAR format:
```
AgBi2Rh
1.0
-4.837 -4.631 -4.337
6.294 -4.192 -2.543
0.415 -6.347 -1.024
Rh Bi Ag
2 4 2
Direct
0.500 0.500 0.000
0.250 0.750 0.500
0.583 0.125 0.250
0.167 0.625 0.250
0.375 0.417 0.750
0.875 0.833 0.750
0.000 0.000 0.000
0.750 0.250 0.500
```

---

15.
A plane-wave DFT calculation with PBE was carried out for a relaxed structure of MoRu5.

Summary:
Energy above the lowest structure with this stoichiometry   686 meV per atom
Energy relative to the elements   0.6650 eV per atom
Space-group type   P6/mmm (191)
Electronic total energy   -8.870 eV/atom

The structure in POSCAR format:
```
MoRu5
1.0
2.498 -4.327 0.000
2.498 4.327 0.000
0.000 0.000 4.352
Mo Ru
1 5
Direct
0.000 0.000 0.000
0.000 0.500 0.500
0.333 0.667 0.000
0.500 0.000 0.500
0.500 0.500 0.500
0.667 0.333 0.000
```

---

16.
A plane-wave DFT calculation with PBE was carried out for a relaxed structure of Ba2ZnSbN.

Summary:
Energy above the lowest structure with this stoichiometry   0 meV per atom
Space-group type   P2_1/m (11)
E_form (uncorrected)   -0.697 eV/atom
Electronic total energy   -4.210 eV/atom

The structure in POSCAR format:
```
Ba2ZnSbN
1.0
-4.230 0.365 -1.191
-2.090 -2.701 6.597
0.647 9.495 0.615
Ba Zn Sb N
4 2 2 2
Direct
0.750 0.808 0.628
0.750 0.798 0.035
0.250 0.192 0.372
0.250 0.202 0.965
0.250 0.554 0.759
0.750 0.446 0.241
0.250 0.666 0.301
0.750 0.334 0.699
0.250 0.829 0.831
0.750 0.171 0.169
```

---

17.
A plane-wave DFT calculation with PBE was carried out for a relaxed structure of Ti6InCo.

Summary:
Energy relative to the elements   0.1136 eV per atom
Space-group type   R-3m (166)
Electronic total energy   -7.038 eV/atom

The structure in POSCAR format:
```
Ti6InCo
1.0
0.010 1.177 -5.414
-4.497 -3.088 0.968
-0.728 4.791 2.688
Ti In Co
6 1 1
Direct
0.225 0.225 0.653
0.653 0.225 0.225
0.775 0.775 0.347
0.775 0.347 0.775
0.347 0.775 0.775
0.225 0.653 0.225
0.000 0.000 0.000
0.500 0.500 0.500
```

---

18.
A plane-wave DFT calculation with PBE was carried out for a relaxed structure of KAuSe2.

Summary:
Space-group type   Cmmm (65)
E_form (uncorrected)   -0.374 eV/atom
Electronic total energy   -3.210 eV/atom

The structure in POSCAR format:
```
KAuSe2
1.0
5.299 0.425 0.000
3.599 3.913 0.000
0.000 0.000 8.141
Au K Se
1 1 2
Direct
0.500 0.500 0.250
0.500 0.500 0.750
0.000 0.000 0.054
0.000 0.000 0.446
```

---

19.
A plane-wave DFT calculation with PBE was carried out for a relaxed structure of Sc2FePt2.

Summary:
Energy relative to the elements   -0.7319 eV per atom
Space-group type   P4/mbm (127)
Electronic total energy   -7.373 eV/atom

The structure in POSCAR format:
```
Sc2FePt2
1.0
-2.254 3.241 -5.714
4.896 -3.199 -3.746
-2.378 -2.847 -0.677
Sc Fe Pt
4 2 4
Direct
0.166 0.666 0.500
0.666 0.834 0.500
0.834 0.334 0.500
0.334 0.166 0.500
0.000 0.000 0.000
0.500 0.500 0.000
0.359 0.859 0.000
0.859 0.641 0.000
0.641 0.141 0.000
0.141 0.359 0.000
```

---

20.
A plane-wave DFT calculation with PBE was carried out for a relaxed structure of ScCoSi.

Summary:
Space-group type   Cmcm (63)
E_form (uncorrected)   -0.115 eV/atom
Electronic total energy   -6.402 eV/atom

The structure in POSCAR format:
```
ScCoSi
1.0
1.848 -7.263 0.000
1.848 7.263 0.000
0.000 0.000 3.593
Sc Co Si
2 2 2
Direct
0.598 0.402 0.750
0.402 0.598 0.250
0.953 0.047 0.750
0.047 0.953 0.250
0.248 0.752 0.750
0.752 0.248 0.250
```